Below is an optimized crystal structure of LaReTe2, with properties calculated at the PBE-GGA level.

a = 3.4781 Å, b = 3.4781 Å, c = 7.7280 Å
α = 90.00°, β = 90.00°, γ = 90.00°
Sites, in units of the cell vectors:
1 La 0.0000 0.0000 0.0000
2 Re 0.0000 0.0000 0.5000
3 Te 0.5000 0.5000 0.2919
4 Te 0.5000 0.5000 0.7081

Results
- magnetic moment (μB per formula unit) = 0.00
- relative energy among the computed polymorphs (meV/atom) = 323
- volume (Å³ per cell) = 93.5
- formation energy without anion corrections (eV per atom) = 0.095
- Fermi-level density of states (states/eV/atom) = 0.86